Computed, not measured: a relaxed structure of Np4Mn7Ge6 at the PBE-GGA level of DFT.

DFT formation energy ... -0.222 eV per atom
Raw total energy ... -147.4 eV/cell
Magnetization ... 5.64 μB/f.u.

a = 7.1226 Å, b = 7.1226 Å, c = 7.1226 Å
α = 109.47°, β = 109.47°, γ = 109.47°
Sites, in units of the cell vectors:
Np 0.0000 0.0000 0.5000
Np 0.0000 0.5000 0.0000
Np 0.5000 0.0000 0.0000
Np 0.5000 0.5000 0.5000
Mn 0.0000 0.0000 0.0000
Mn 0.2500 0.5000 0.7500
Mn 0.2500 0.7500 0.5000
Mn 0.5000 0.2500 0.7500
Mn 0.5000 0.7500 0.2500
Mn 0.7500 0.2500 0.5000
Mn 0.7500 0.5000 0.2500
Ge 0.0000 0.3183 0.3183
Ge 0.0000 0.6817 0.6817
Ge 0.3183 0.0000 0.3183
Ge 0.3183 0.3183 0.0000
Ge 0.6817 0.0000 0.6817
Ge 0.6817 0.6817 0.0000